(1)
Here is crystalline Ca3Mg4Cu2 at its relaxed geometry from Alexandria via LeMat-Bulk. Energies are from PBE.

**ΔE_f**: -44.7 meV per atom
**Spin magnetization**: 0.00 μB/cell

a = 8.2095 Å, b = 8.2095 Å, c = 7.5476 Å
α = 85.38°, β = 85.38°, γ = 27.37°
Last column: nearest neighbours and their distance in Å.
Fractional coordinates of all 9 atoms:
Cu  0.3646  0.3646  0.0500  4 Mg 2.69-2.99, 2 Ca 2.91
Cu  0.6354  0.6354  0.9500  4 Mg 2.69-2.99, 2 Ca 2.91
Mg  0.8016  0.8016  0.8504  3 Cu 2.69-2.70
Mg  0.1984  0.1984  0.1496  3 Cu 2.69-2.70
Mg  0.5554  0.5554  0.3229  1 Cu 2.99, 3 Mg 3.08-3.19, 2 Ca 3.29
Mg  0.4446  0.4446  0.6771  1 Cu 2.99, 3 Mg 3.08-3.19, 2 Ca 3.29
Ca  0.0000  0.0000  0.0000  4 Cu 2.91
Ca  0.8445  0.8445  0.3650  2 Cu 3.07
Ca  0.1555  0.1555  0.6350  2 Cu 3.07

=====

(2)
Here is crystalline CaMg2Cu2 at its relaxed geometry from Alexandria via LeMat-Bulk. Energies are from PBE.

**Energy above the lowest structure with this stoichiometry**: 6.5 kJ per mole of atoms
**ΔE_f**: -43.4 meV per atom
**Spin magnetization**: 0.00 μB/cell

a = 4.5856 Å, b = 4.5856 Å, c = 10.6910 Å
α = 102.38°, β = 102.38°, γ = 90.00°
Last column: nearest neighbours and their distance in Å.
Fractional coordinates of all 10 atoms:
Ca  0.3652  0.3652  0.7303  8 Cu 3.28-3.56, 9 Mg 3.42-3.59
Ca  0.6348  0.6348  0.2697  8 Cu 3.28-3.56, 9 Mg 3.42-3.59
Mg  0.8112  0.8112  0.6225  5 Cu 2.56-2.61
Mg  0.5000  0.0000  0.0000  4 Cu 2.63
Mg  0.0000  0.5000  0.0000  4 Cu 2.63
Mg  0.1888  0.1888  0.3775  5 Cu 2.56-2.61
Cu  0.7500  0.2500  0.5000  4 Mg 2.61
Cu  0.0632  0.0632  0.1264  5 Mg 2.56-2.63, 1 Cu 2.57
Cu  0.9368  0.9368  0.8736  5 Mg 2.56-2.63, 1 Cu 2.57
Cu  0.2500  0.7500  0.5000  4 Mg 2.61

=====

(3)
Here is crystalline CaMg4Cu8 at its relaxed geometry from Alexandria via LeMat-Bulk. Energies are from PBE.

**Energy above the lowest structure with this stoichiometry**: 0.0 kJ per mole of atoms
**ΔE_f**: -37.4 meV per atom
**Spin magnetization**: 0.00 μB/cell

a = 7.1434 Å, b = 7.1432 Å, c = 7.1517 Å
α = 95.76°, β = 95.76°, γ = 143.08°
Last column: nearest neighbours and their distance in Å.
Fractional coordinates of all 13 atoms:
Mg  0.4988  0.7403  0.2411  6 Cu 2.59-2.81
Mg  0.7402  0.4988  0.2412  6 Cu 2.59-2.81
Mg  0.5012  0.2597  0.7589  6 Cu 2.59-2.81
Mg  0.2598  0.5012  0.7588  6 Cu 2.59-2.81
Cu  0.9981  0.3726  0.3739  3 Cu 2.41-2.56, 2 Mg 2.59-2.60
Cu  0.7886  0.2116  0.0002  4 Cu 2.49-2.56
Cu  0.0019  0.6274  0.6261  3 Cu 2.41-2.56, 2 Mg 2.59-2.60
Cu  0.2111  0.2109  0.4223  4 Cu 2.50-2.56
Cu  0.2114  0.7884  0.9998  4 Cu 2.49-2.56
Cu  0.6275  0.0024  0.6264  3 Cu 2.41-2.56, 2 Mg 2.59-2.60
Cu  0.7889  0.7891  0.5777  4 Cu 2.50-2.56
Cu  0.3725  0.9976  0.3736  3 Cu 2.41-2.56, 2 Mg 2.59-2.60
Ca  0.0000  0.0000  0.0000  4 Cu 2.86-2.87

=====

(4)
Here is crystalline CaMg6Cu at its relaxed geometry from Alexandria via LeMat-Bulk. Energies are from PBE.

**ΔE_f**: 32.4 meV per atom
**Spin magnetization**: 0.00 μB/cell

a = 6.6369 Å, b = 6.6369 Å, c = 5.0856 Å
α = 90.00°, β = 90.00°, γ = 124.11°
Last column: nearest neighbours and their distance in Å.
Fractional coordinates of all 8 atoms:
Mg  0.1771  0.3401  0.0000  6 Mg 3.00-3.22, 2 Cu 3.01, 2 Ca 3.23
Mg  0.8183  0.6807  0.5000  1 Cu 2.83, 6 Mg 3.09-3.15
Mg  0.6551  0.3449  0.0000  10 Mg 3.13-3.48, 2 Ca 3.18
Mg  0.6599  0.8229  0.0000  6 Mg 3.00-3.22, 2 Cu 3.01, 2 Ca 3.23
Mg  0.3193  0.1817  0.5000  1 Cu 2.83, 6 Mg 3.09-3.15
Mg  0.1856  0.8144  0.0000  8 Mg 3.12-3.28, 2 Cu 3.32
Cu  0.3673  0.6327  0.5000  6 Mg 2.83-3.01, 2 Ca 3.16
Ca  0.8174  0.1826  0.5000  2 Cu 3.16, 10 Mg 3.18-3.33